No. 1
A plane-wave DFT calculation with PBE was carried out for a geometry-optimized Ce3Zn2Ir3 structure.

Values from the calculation:
- Relative energy among the computed polymorphs: 0 meV per atom
- VASP energy: -6.487 eV/atom
- Energy relative to the elements: -0.62 eV per atom
- DOS at the Fermi energy: 1.130 states/eV/atom
- Spin magnetization: 4.197 μB/cell

a = 3.9361 Å, b = 12.3260 Å, c = 13.6459 Å
α = 90.00°, β = 90.00°, γ = 90.00°
Space group Cmcm (No. 63)
Asymmetric unit:
Ce1 0.0000 0.0717 0.1134 (multiplicity 8)
Ce2 0.0000 0.3460 0.2500 (multiplicity 4)
Zn1 0.0000 0.2322 0.5754 (multiplicity 8)
Ir1 0.0000 0.3374 0.7500 (multiplicity 4)
Ir2 0.0000 0.4024 0.0517 (multiplicity 8)

No. 2
A plane-wave DFT calculation with PBE was carried out for a geometry-optimized Ce3ZnIr2 structure.

Values from the calculation:
- Relative energy among the computed polymorphs: 0 meV per atom
- VASP energy: -6.689 eV/atom
- Energy relative to the elements: -0.56 eV per atom
- DOS at the Fermi energy: 1.723 states/eV/atom
- Spin magnetization: 0.011 μB/cell

a = 14.3675 Å, b = 5.0120 Å, c = 7.2874 Å
α = 90.00°, β = 90.00°, γ = 90.00°
Space group Cmcm (No. 63)
Asymmetric unit:
Ce1 0.0000 0.0000 0.0000 (multiplicity 4)
Ce2 0.1895 0.5000 0.0000 (multiplicity 8)
Zn1 0.0000 0.4890 0.2500 (multiplicity 4)
Ir1 0.1444 0.0330 0.2500 (multiplicity 8)

No. 3
A plane-wave DFT calculation with PBE was carried out for a geometry-optimized Ce2ZnIr structure.

Values from the calculation:
- VASP energy: -5.559 eV/atom
- Energy relative to the elements: -0.06 eV per atom
- DOS at the Fermi energy: 3.747 states/eV/atom
- Spin magnetization: 5.343 μB/cell

a = 4.0685 Å, b = 4.0685 Å, c = 28.1811 Å
α = 90.00°, β = 90.00°, γ = 120.00°
Space group R-3m (No. 166, hexagonal axes)
Asymmetric unit:
Ce1 0.0000 0.0000 0.1132 (multiplicity 6)
Zn1 0.0000 0.0000 0.0000 (multiplicity 3)
Ir1 0.0000 0.0000 0.5000 (multiplicity 3)

No. 4
A plane-wave DFT calculation with PBE was carried out for a geometry-optimized Ce2ZnIr structure.

Values from the calculation:
- VASP energy: -5.962 eV/atom
- Energy relative to the elements: -0.46 eV per atom
- DOS at the Fermi energy: 1.810 states/eV/atom
- Spin magnetization: 0.787 μB/cell

a = 7.2364 Å, b = 3.6307 Å, c = 7.7174 Å
α = 90.00°, β = 117.71°, γ = 90.00°
Space group P2/m (No. 10)
Asymmetric unit:
Ce1 0.1064 0.0000 0.2104 (multiplicity 2)
Ce2 0.3767 0.0000 0.7564 (multiplicity 2)
Zn1 0.0000 0.5000 0.5000 (multiplicity 1)
Zn2 0.5000 0.5000 0.5000 (multiplicity 1)
Ir1 0.2780 0.5000 0.0014 (multiplicity 2)

No. 5
A plane-wave DFT calculation with PBE was carried out for a geometry-optimized Ce3Zn9Ir2 structure.

Values from the calculation:
- VASP energy: -3.713 eV/atom
- Energy relative to the elements: -0.36 eV per atom
- DOS at the Fermi energy: 1.095 states/eV/atom
- Spin magnetization: 2.150 μB/cell

a = 4.3348 Å, b = 9.0765 Å, c = 12.9684 Å
α = 90.00°, β = 90.00°, γ = 90.00°
Space group Immm (No. 71)
Asymmetric unit:
Ce1 0.0000 0.0000 0.0000 (multiplicity 2)
Ce2 0.0000 0.0000 0.3183 (multiplicity 4)
Zn1 0.0000 0.2803 0.1252 (multiplicity 8)
Zn2 0.0000 0.3584 0.3248 (multiplicity 8)
Zn3 0.0000 0.5000 0.0000 (multiplicity 2)
Ir1 0.0000 0.2159 0.5000 (multiplicity 4)

No. 6
A plane-wave DFT calculation with PBE was carried out for a geometry-optimized Ce7Zn2Ir2 structure.

Values from the calculation:
- VASP energy: -5.893 eV/atom
- Energy relative to the elements: -0.27 eV per atom
- DOS at the Fermi energy: 2.558 states/eV/atom
- Spin magnetization: 4.943 μB/cell

a = 7.9510 Å, b = 10.7187 Å, c = 6.7172 Å
α = 90.00°, β = 90.00°, γ = 90.00°
Space group Cmmm (No. 65)
Asymmetric unit:
Ce1 0.0000 0.0000 0.0000 (multiplicity 2)
Ce2 0.0000 0.5000 0.2925 (multiplicity 4)
Ce3 0.2500 0.2500 0.2841 (multiplicity 8)
Zn1 0.1531 0.0000 0.5000 (multiplicity 4)
Ir1 0.0000 0.2897 0.0000 (multiplicity 4)

No. 7
A plane-wave DFT calculation with PBE was carried out for a geometry-optimized CeZnIr2 structure.

Values from the calculation:
- VASP energy: -6.227 eV/atom
- Energy relative to the elements: 0.01 eV per atom
- DOS at the Fermi energy: 1.616 states/eV/atom
- Spin magnetization: 2.156 μB/cell

a = 5.7977 Å, b = 7.3242 Å, c = 8.3236 Å
α = 90.00°, β = 90.00°, γ = 90.00°
Space group Pmma (No. 51)
Asymmetric unit:
Ce1 0.2500 0.0000 0.1932 (multiplicity 2)
Ce2 0.2500 0.5000 0.2706 (multiplicity 2)
Zn1 0.2500 0.0000 0.7664 (multiplicity 2)
Zn2 0.2500 0.5000 0.7613 (multiplicity 2)
Ir1 0.0000 0.0000 0.5000 (multiplicity 2)
Ir2 0.0000 0.5000 0.0000 (multiplicity 2)
Ir3 0.2500 0.3001 0.5190 (multiplicity 4)

No. 8
A plane-wave DFT calculation with PBE was carried out for a geometry-optimized CeZn2Ir2 structure.

Values from the calculation:
- VASP energy: -5.649 eV/atom
- Energy relative to the elements: -0.41 eV per atom
- DOS at the Fermi energy: 1.163 states/eV/atom
- Spin magnetization: 1.805 μB/cell

a = 4.0328 Å, b = 4.0328 Å, c = 22.3886 Å
α = 90.00°, β = 90.00°, γ = 90.00°
Space group I4/mmm (No. 139)
Asymmetric unit:
Ce1 0.0000 0.0000 0.1289 (multiplicity 4)
Zn1 0.0000 0.0000 0.3186 (multiplicity 4)
Zn2 0.0000 0.5000 0.0000 (multiplicity 4)
Ir1 0.0000 0.0000 0.4290 (multiplicity 4)
Ir2 0.0000 0.5000 0.2500 (multiplicity 4)